DFT (GGA-PBE) results for crystalline ZrNbCoIr at its relaxed geometry.

Results
For the final energy, the calculation gives -35.88 eV per cell. The total moment comes out at 1.5 μB/cell. As for the energy relative to the elements: -0.32 eV per atom. As for the volume: 16.57 A^3/atom.

a = 4.542 Å, b = 4.542 Å, c = 4.542 Å
α = 60.00°, β = 60.00°, γ = 60.00°
Site moments in Bohr magnetons follow the coordinates.
Positions (direct):
Nb1 0.000 0.000 0.000  0.21
Ir1 0.250 0.250 0.250  0.08
Co1 0.750 0.750 0.750  1.27
Zr1 0.500 0.500 0.500  -0.02